No. 1
First-principles (PBE) data for a geometry-optimized CsBiAu2 structure, as listed in Alexandria.

Calculated values
Calculated formation energy: -0.223 eV/atom
Total moment: 0.00 μB per formula unit
Raw total energy: -12.2 eV per cell

Structure (POSCAR):
```
CsBiAu2
1.0
5.065 0.000 0.000
2.533 4.387 0.000
2.533 1.462 6.546
Cs Au Bi
1 2 1
direct
0.500 0.500 0.500
0.687 0.687 0.938
0.313 0.313 0.062
0.000 0.000 0.000
```


No. 2
First-principles (PBE) data for a geometry-optimized ZrRe2Ag structure, as listed in Alexandria.

Calculated values
Calculated formation energy: 0.403 eV/atom
Total moment: 0.00 μB per formula unit
Raw total energy: -34.7 eV per cell

Structure (POSCAR):
```
ZrRe2Ag
1.0
-0.780 4.449 -2.650
-4.974 1.599 -0.364
3.172 -1.571 3.860
Re Ag Zr
2 1 1
direct
0.500 0.500 0.000
0.000 0.000 0.000
0.750 0.250 0.500
0.250 0.750 0.500
```


No. 3
First-principles (PBE) data for a geometry-optimized Mo3W structure, as listed in Alexandria.

Calculated values
Calculated formation energy: 0.346 eV/atom
Total moment: 0.00 μB per formula unit
Raw total energy: -88.1 eV per cell

Structure (POSCAR):
```
Mo3W
1.0
-1.880 1.880 9.227
1.880 -1.880 9.227
1.880 1.880 -9.227
Mo W
6 2
direct
0.000 0.500 0.500
0.750 0.250 0.500
0.125 0.125 0.000
0.250 0.750 0.500
0.875 0.875 0.000
0.500 0.000 0.500
0.375 0.375 0.000
0.625 0.625 0.000
```


No. 4
First-principles (PBE) data for a geometry-optimized HfIn3Sn structure, as listed in Alexandria.

Calculated values
Calculated formation energy: 0.611 eV/atom
Total moment: 0.00 μB per formula unit
Raw total energy: -19.1 eV per cell

Structure (POSCAR):
```
HfIn3Sn
1.0
5.550 0.000 0.000
0.000 5.550 0.000
0.000 0.000 5.550
In Sn Hf
3 1 1
direct
0.000 0.000 0.500
0.000 0.500 0.000
0.500 0.000 0.000
0.500 0.500 0.500
0.000 0.000 0.000
```


No. 5
First-principles (PBE) data for a geometry-optimized NdScSb structure, as listed in Alexandria.

Calculated values
Total moment: 0.33 μB per formula unit
Raw total energy: -16.8 eV per cell

Structure (POSCAR):
```
NdScSb
1.0
4.058 0.000 0.000
0.000 4.917 0.000
0.000 -2.458 4.258
Nd Sb Sc
1 1 1
direct
0.654 0.667 0.333
0.202 0.333 0.667
0.144 0.000 0.000
```


No. 6
First-principles (PBE) data for a geometry-optimized BaAl2Te structure, as listed in Alexandria.

Calculated values
Total moment: 0.00 μB per formula unit
Raw total energy: -13.4 eV per cell

Structure (POSCAR):
```
BaAl2Te
1.0
6.452 -0.003 0.009
2.924 5.751 -0.009
-4.129 -3.786 3.201
Al Te Ba
2 1 1
direct
0.030 0.030 0.000
0.470 0.470 0.000
0.250 0.750 0.500
0.750 0.250 0.500
```


No. 7
First-principles (PBE) data for a geometry-optimized H6PbI structure, as listed in Alexandria.

Calculated values
Total moment: 0.00 μB per formula unit
Raw total energy: -20.0 eV per cell

Structure (POSCAR):
```
H6PbI
1.0
13.999 0.146 4.809
-5.397 2.764 0.099
3.677 0.133 4.821
H Pb I
6 1 1
direct
0.251 0.976 0.489
0.748 0.484 0.516
0.252 0.516 0.484
0.749 0.489 0.976
0.749 0.024 0.511
0.251 0.511 0.024
0.500 0.000 0.000
0.000 0.000 0.000
```


No. 8
First-principles (PBE) data for a geometry-optimized MgTaMn2W structure, as listed in Alexandria.

Calculated values
Calculated formation energy: 1.477 eV/atom
Total moment: 6.19 μB per formula unit
Raw total energy: -37.4 eV per cell

Structure (POSCAR):
```
MgTaMn2W
1.0
-1.951 1.038 4.207
-4.261 -1.582 -1.586
1.041 -4.367 1.560
Ta Mg W Mn
1 1 1 2
direct
0.000 0.000 0.000
0.500 0.500 0.500
0.000 0.500 0.000
0.500 0.000 0.000
0.000 0.000 0.500
```


No. 9
First-principles (PBE) data for a geometry-optimized ScAl2Ru structure, as listed in Alexandria.

Calculated values
Calculated formation energy: -0.376 eV/atom
Total moment: 0.00 μB per formula unit
Raw total energy: -24.6 eV per cell

Structure (POSCAR):
```
ScAl2Ru
1.0
6.379 -0.001 -0.003
-2.405 3.927 0.016
1.568 0.951 2.577
Ru Al Sc
1 2 1
direct
0.000 0.500 0.500
0.500 0.000 0.500
0.000 0.000 0.000
0.500 0.500 0.000
```


No. 10
First-principles (PBE) data for a geometry-optimized BaTlHg3 structure, as listed in Alexandria.

Calculated values
Calculated formation energy: -0.306 eV/atom
Total moment: 0.00 μB per formula unit
Raw total energy: -13.4 eV per cell

Structure (POSCAR):
```
BaTlHg3
1.0
-3.121 2.493 3.713
-5.852 -2.652 -3.138
1.992 -7.726 2.813
Hg Tl Ba
6 2 2
direct
0.307 0.325 0.418
0.340 0.825 0.484
0.119 0.260 0.040
0.946 0.018 0.698
0.701 0.518 0.204
0.528 0.760 0.861
0.140 0.741 0.083
0.507 0.241 0.818
0.726 0.033 0.256
0.921 0.533 0.646
```


No. 11
First-principles (PBE) data for a geometry-optimized Ba3Bi3Pb2 structure, as listed in Alexandria.

Calculated values
Calculated formation energy: -0.598 eV/atom
Total moment: 0.00 μB per formula unit
Raw total energy: -59.2 eV per cell

Structure (POSCAR):
```
Ba3Bi3Pb2
1.0
-2.927 1.824 -3.701
-3.205 -5.569 3.247
-8.137 11.834 12.265
Bi Ba Pb
6 6 4
direct
0.641 0.281 0.750
0.605 0.210 0.458
0.359 0.719 0.250
0.605 0.210 0.042
0.395 0.790 0.958
0.395 0.790 0.542
0.633 0.266 0.250
0.087 0.174 0.892
0.367 0.734 0.750
0.087 0.174 0.608
0.913 0.826 0.392
0.913 0.826 0.108
0.795 0.590 0.886
0.205 0.410 0.386
0.795 0.590 0.614
0.205 0.410 0.114
```


No. 12
First-principles (PBE) data for a geometry-optimized KSrLiSn structure, as listed in Alexandria.

Calculated values
Calculated formation energy: -0.288 eV/atom
Total moment: 0.00 μB per formula unit
Raw total energy: -9.8 eV per cell

Structure (POSCAR):
```
KSrLiSn
1.0
-4.920 -0.019 -2.661
-3.840 -3.871 1.249
-4.660 1.462 2.727
K Sr Sn Li
1 1 1 1
direct
0.750 0.750 0.750
0.000 0.000 0.000
0.250 0.250 0.250
0.500 0.500 0.500
```